[1]
# SCAN YTaNi6, single point on PBEsol structure
data_YTaNi6
_cell_length_a 6.402
_cell_length_b 6.402
_cell_length_c 10.501
_cell_angle_alpha 90.00
_cell_angle_beta 90.00
_cell_angle_gamma 109.37
_space_group_name_H-M_alt 'P 1'
_space_group_IT_number 1
loop_
_space_group_symop_operation_xyz
'x,y,z'
loop_
_atom_site_label
_atom_site_type_symbol
_atom_site_fract_x
_atom_site_fract_y
_atom_site_fract_z
Y1 Y 0.000 0.000 0.248
Y2 Y 0.000 0.000 0.752
Y3 Y 0.247 0.753 0.500
Y4 Y 0.753 0.247 0.500
Ta1 Ta 0.248 0.752 0.000
Ta2 Ta 0.500 0.500 0.251
Ta3 Ta 0.500 0.500 0.749
Ta4 Ta 0.752 0.248 0.000
Ni1 Ni 0.000 0.000 0.000
Ni2 Ni 0.000 0.000 0.500
Ni3 Ni 0.131 0.385 0.118
Ni4 Ni 0.131 0.385 0.882
Ni5 Ni 0.137 0.383 0.367
Ni6 Ni 0.137 0.383 0.633
Ni7 Ni 0.256 0.744 0.240
Ni8 Ni 0.256 0.744 0.760
Ni9 Ni 0.383 0.137 0.367
Ni10 Ni 0.383 0.137 0.633
Ni11 Ni 0.385 0.131 0.118
Ni12 Ni 0.385 0.131 0.882
Ni13 Ni 0.500 0.500 0.000
Ni14 Ni 0.500 0.500 0.500
Ni15 Ni 0.615 0.869 0.118
Ni16 Ni 0.615 0.869 0.882
Ni17 Ni 0.617 0.863 0.367
Ni18 Ni 0.617 0.863 0.633
Ni19 Ni 0.744 0.256 0.240
Ni20 Ni 0.744 0.256 0.760
Ni21 Ni 0.863 0.617 0.367
Ni22 Ni 0.863 0.617 0.633
Ni23 Ni 0.869 0.615 0.118
Ni24 Ni 0.869 0.615 0.882
# - Space group: Cmmm
# - Calculated total energy: -24.191 eV per atom
# - Formation energy from the elements: -0.2580 eV per atom

[2]
# SCAN BePt2Rh, single point on PBEsol structure
data_BePt2Rh
_cell_length_a 2.734
_cell_length_b 2.734
_cell_length_c 6.812
_cell_angle_alpha 90.00
_cell_angle_beta 90.00
_cell_angle_gamma 90.00
_space_group_name_H-M_alt 'P 1'
_space_group_IT_number 1
loop_
_space_group_symop_operation_xyz
'x,y,z'
loop_
_atom_site_label
_atom_site_type_symbol
_atom_site_fract_x
_atom_site_fract_y
_atom_site_fract_z
Be1 Be 0.000 0.000 0.000
Pt1 Pt 0.000 0.000 0.512
Pt2 Pt 0.500 0.500 0.206
Rh1 Rh 0.500 0.500 0.798
# - Space group: P4mm
# - Calculated total energy: -45.055 eV per atom
# - Formation energy from the elements: -0.4276 eV per atom